The following is a PBEsol calculation of Cu2TcCl after structural relaxation, from Alexandria.

```
Cu2TcCl
1.0
2.6842 0.0000 0.0000
0.0000 4.2509 0.0050
0.0000 -1.4192 4.6603
Tc Cu Cl
1 2 1
direct
0.5000 0.0000 0.5000
0.0000 0.0000 0.0000
0.5000 0.5000 0.0000
0.0000 0.5000 0.5000
```

**Energy above the lowest structure with this stoichiometry**: 0.00 eV per formula unit
**Size of the total moment**: 0.002 μB per cell
**Raw formation energy**: 0.59 eV per atom
**Theoretical density**: 8.13 g/cm³

***

The following is a PBEsol calculation of CuTc3Cl after structural relaxation, from Alexandria.

```
CuTc3Cl
1.0
4.5122 0.0000 0.0000
0.0000 4.5122 0.0000
0.0000 0.0000 4.5122
Cl Tc Cu
1 3 1
direct
0.5000 0.5000 0.5000
0.5000 0.0000 0.0000
0.0000 0.5000 0.0000
0.0000 0.0000 0.5000
0.0000 0.0000 0.0000
```

**Size of the total moment**: 5.364 μB per cell
**Raw formation energy**: 2.18 eV per atom
**Theoretical density**: 7.10 g/cm³

***

The following is a PBEsol calculation of CuTe2Cl after structural relaxation, from Alexandria.

```
CuTe2Cl
1.0
-4.2144 0.5991 2.4687
-4.1206 -3.0091 -6.3042
2.2732 -8.7634 6.0076
Cl Te Cu
4 8 4
direct
0.1096 0.2882 0.3779
0.8904 0.7118 0.6221
0.6096 0.2118 0.1221
0.3904 0.7882 0.8779
0.0128 0.8713 0.1329
0.9872 0.1287 0.8671
0.4872 0.3713 0.6329
0.5128 0.6287 0.3671
0.7877 0.4434 0.8630
0.2877 0.0566 0.6370
0.7123 0.9434 0.3630
0.2123 0.5566 0.1370
0.6383 0.9236 0.7515
0.1383 0.5764 0.7485
0.3617 0.0764 0.2485
0.8617 0.4236 0.2515
```

**Size of the total moment**: 0.000 μB per cell
**Raw formation energy**: -0.24 eV per atom
**Theoretical density**: 5.58 g/cm³

***

Number 1 is which compound?
Cu2TcCl

***

The highest raw formation energy belongs to which entry?
CuTc3Cl

***

Among the records above, which one has the highest theoretical density?
Cu2TcCl

***

What is the formula in the third record?
CuTe2Cl